Below is LiTeO after structural relaxation, with properties calculated at the PBE-GGA level.

```
data_LiTeO
_chemical_formula_sum 'Li2 Te2 O2'
_space_group_name_H-M_alt 'P 1'
_space_group_IT_number 1
_cell_length_a 5.653
_cell_length_b 5.653
_cell_length_c 4.527
_cell_angle_alpha 93.46
_cell_angle_beta 93.46
_cell_angle_gamma 114.27
loop_
_space_group_symop_operation_xyz
'x,y,z'
loop_
_atom_site_label
_atom_site_type_symbol
_atom_site_fract_x
_atom_site_fract_y
_atom_site_fract_z
_atom_site_occupancy
Li1 Li 0.195 0.805 0.000 1
Li2 Li 0.805 0.195 0.000 1
Te1 Te 0.311 0.311 0.675 1
Te2 Te 0.871 0.871 0.451 1
O1 O 0.150 0.454 0.946 1
O2 O 0.454 0.150 0.946 1
```

For the total energy, the calculation gives -27.04 eV/cell. As for the volume: 131.1 Å³ per cell. Its symmetry is No. 8. The value obtained for the density is 3.814 g/cm3. The value obtained for the magnetic moment is 0.000 Bohr magnetons per cell.